{
  "formula": "ScBeWC2",
  "functional": "meta-GGA SCAN",
  "state": "single point on PBEsol structure",
  "cell": [[-3.534, 0.131, 1.854], [0.179, -3.940, 0.619], [2.325, 0.793, 4.377]],
  "species": ["C", "C", "W", "Be", "Sc"],
  "fractional_positions": [[0.000, 0.500, 0.000], [0.500, 0.000, 0.000], [0.000, 0.000, 0.500], [0.500, 0.500, 0.500], [0.000, 0.000, 0.000]],
  "rho_g_cm3": 5.4,
  "formation_enthalpy_0k_mev_per_atom": 2976,
  "volume_a3_per_cell": 80.0
}


{
  "formula": "TaBeC2",
  "functional": "meta-GGA SCAN",
  "state": "single point on PBEsol structure",
  "cell": [[4.576, 0.014, 0.023], [-1.624, 4.278, -0.023], [-1.624, -2.044, 3.759]],
  "species": ["C", "C", "C", "C", "Ta", "Ta", "Be", "Be"],
  "fractional_positions": [[0.447, 0.572, 0.625], [0.947, 0.375, 0.822], [0.553, 0.178, 0.125], [0.053, 0.875, 0.428], [0.000, 0.000, 0.000], [0.500, 0.750, 0.250], [0.000, 0.500, 0.500], [0.500, 0.250, 0.750]],
  "rho_g_cm3": 9.6,
  "formation_enthalpy_0k_mev_per_atom": 428,
  "volume_a3_per_cell": 73.7
}


{
  "formula": "BeTeC2",
  "functional": "meta-GGA SCAN",
  "state": "single point on PBEsol structure",
  "cell": [[-2.319, -0.279, -3.191], [-0.151, -3.381, -2.045], [-3.260, -2.237, 0.114]],
  "species": ["Be", "C", "C", "Te"],
  "fractional_positions": [[0.000, 0.000, 0.000], [0.750, 0.750, 0.750], [0.250, 0.250, 0.250], [0.500, 0.500, 0.500]],
  "rho_g_cm3": 6.1,
  "raw_formation_energy_ev_per_atom": 2.443,
  "volume_a3_per_cell": 43.7
}


{
  "formula": "BeTeC3",
  "functional": "meta-GGA SCAN",
  "state": "single point on PBEsol structure",
  "cell": [[3.734, 0.000, 0.000], [0.000, 3.734, 0.000], [0.000, 0.000, 3.734]],
  "species": ["C", "C", "C", "Be", "Te"],
  "fractional_positions": [[0.500, 0.000, 0.000], [0.000, 0.000, 0.500], [0.000, 0.500, 0.000], [0.000, 0.000, 0.000], [0.500, 0.500, 0.500]],
  "rho_g_cm3": 5.5,
  "raw_formation_energy_ev_per_atom": 2.548,
  "volume_a3_per_cell": 52.1
}


{
  "formula": "Ti2BeC",
  "functional": "meta-GGA SCAN",
  "state": "single point on PBEsol structure",
  "cell": [[-3.807, -0.179, -0.915], [-2.083, -3.197, 0.897], [-2.705, 0.155, 2.832]],
  "species": ["Be", "C", "Ti", "Ti"],
  "fractional_positions": [[0.000, 0.000, 0.000], [0.500, 0.500, 0.500], [0.250, 0.250, 0.250], [0.750, 0.750, 0.750]],
  "rho_g_cm3": 4.6,
  "formation_enthalpy_0k_mev_per_atom": 370,
  "volume_a3_per_cell": 42.6
}


{
  "formula": "BeTlC2",
  "functional": "meta-GGA SCAN",
  "state": "single point on PBEsol structure",
  "cell": [[-2.580, -2.858, -1.210], [1.333, -3.734, -0.755], [-0.967, -3.029, 2.486]],
  "species": ["C", "C", "Be", "Tl"],
  "fractional_positions": [[0.750, 0.750, 0.750], [0.250, 0.250, 0.250], [0.000, 0.000, 0.000], [0.500, 0.500, 0.500]],
  "rho_g_cm3": 8.5,
  "formation_enthalpy_0k_mev_per_atom": 2629,
  "volume_a3_per_cell": 46.5
}


{
  "formula": "BeW2C",
  "functional": "meta-GGA SCAN",
  "state": "single point on PBEsol structure",
  "cell": [[-3.886, 0.379, -0.562], [-2.111, -3.064, -1.310], [-2.530, -1.828, 2.413]],
  "species": ["W", "W", "Be", "C"],
  "fractional_positions": [[0.750, 0.750, 0.750], [0.250, 0.250, 0.250], [0.000, 0.000, 0.000], [0.500, 0.500, 0.500]],
  "rho_g_cm3": 14.9,
  "formation_enthalpy_0k_mev_per_atom": 987,
  "volume_a3_per_cell": 43.4
}


{
  "formula": "Y2BeC",
  "functional": "meta-GGA SCAN",
  "state": "single point on PBEsol structure",
  "cell": [[-1.565, 2.717, -3.247], [-4.432, 0.204, -0.830], [-2.332, 3.708, 1.089]],
  "species": ["C", "Y", "Y", "Be"],
  "fractional_positions": [[0.500, 0.500, 0.500], [0.250, 0.250, 0.250], [0.750, 0.750, 0.750], [0.000, 0.000, 0.000]],
  "rho_g_cm3": 5.1,
  "formation_enthalpy_0k_mev_per_atom": 466,
  "volume_a3_per_cell": 65.0
}